(1)
Density functional theory data (PBE) for crystalline TbTh3Sc at its relaxed geometry.

ΔE to the lowest computed polymorph = 240 meV per atom
Total moment = 0.00 μB/f.u.

abc: 6.765 6.765 6.765
angles: 90.51 90.51 90.51
Sites, in units of the cell vectors:
1 Tb 0.129 0.129 0.129
2 Tb 0.871 0.871 0.871
3 Th 0.088 0.415 0.744
4 Th 0.256 0.912 0.585
5 Th 0.415 0.744 0.088
6 Th 0.585 0.256 0.912
7 Th 0.744 0.088 0.415
8 Th 0.912 0.585 0.256
9 Sc 0.378 0.378 0.378
10 Sc 0.622 0.622 0.622

***

(2)
Density functional theory data (PBE) for crystalline AcPm2Pr8 at its relaxed geometry.

ΔE to the lowest computed polymorph = 37 meV per atom
Total moment = 0.00 μB/f.u.

abc: 9.199 9.199 6.996
angles: 98.46 98.46 44.31
Sites, in units of the cell vectors:
1 Ac 0.000 0.000 0.000
2 Pm 0.210 0.210 0.792
3 Pm 0.790 0.790 0.208
4 Pr 0.178 0.640 0.575
5 Pr 0.238 0.238 0.292
6 Pr 0.360 0.822 0.425
7 Pr 0.408 0.408 0.081
8 Pr 0.592 0.592 0.919
9 Pr 0.640 0.178 0.575
10 Pr 0.762 0.762 0.708
11 Pr 0.822 0.360 0.425

***

It is found that the total DFT energy (no corrections) values, taken in the order of the records, are -63.6, -50.2 eV per cell.